Entry 1:
Here is an optimized crystal structure of ErPuAu2 from Alexandria via LeMat-Bulk. Energies are from PBE.

The structure in extended XYZ format:
```
4
Lattice="3.556 0.000 0.000 0.000 3.556 0.000 0.000 0.000 7.382" Properties=species:S:1:pos:R:3 pbc="T T T"
Er 1.778 1.778 0.000
Au 0.000 0.000 5.689
Au 0.000 0.000 1.692
Pu 1.778 1.778 3.691
```

Summary:
calculated volume = 23.3 Å³ per atom
offset from the most stable computed form = 0.00 eV per formula unit
crystal system = tetragonal

=====

Entry 2:
Here is an optimized crystal structure of BaCaMg2Cd from Alexandria via LeMat-Bulk. Energies are from PBE.

The structure in extended XYZ format:
```
5
Lattice="6.161 0.000 0.000 0.000 6.120 0.000 0.000 0.000 6.161" Properties=species:S:1:pos:R:3 pbc="T T T"
Mg 0.000 0.000 3.080
Mg 3.080 0.000 0.000
Ca 3.080 3.060 3.080
Ba 0.000 0.000 0.000
Cd 0.000 3.060 0.000
```

Summary:
calculated volume = 46.5 Å³ per atom
VASP energy = -0.9208 eV per atom
crystal system = tetragonal

=====

Entry 3:
Here is an optimized crystal structure of Cr2AgMo from Alexandria via LeMat-Bulk. Energies are from PBE.

The structure in extended XYZ format:
```
4
Lattice="8.633 0.006 0.003 8.148 2.855 0.003 8.148 1.389 2.494" Properties=species:S:1:pos:R:3 pbc="T T T"
Ag 18.697 3.187 1.876
Cr 24.726 4.215 2.481
Cr 12.667 2.159 1.271
Mo 6.232 1.062 0.625
```

Summary:
calculated volume = 15.3 Å³ per atom
offset from the most stable computed form = 0.88 eV per formula unit
crystal system = trigonal

=====

Entry 4:
Here is an optimized crystal structure of BaSr from Alexandria via LeMat-Bulk. Energies are from PBE.

The structure in extended XYZ format:
```
8
Lattice="7.900 0.000 0.000 0.000 7.900 0.000 0.000 0.000 7.779" Properties=species:S:1:pos:R:3 pbc="T T T"
Ba 5.435 5.435 0.000
Ba 1.485 6.415 3.889
Ba 6.415 1.485 3.889
Ba 2.465 2.465 0.000
Sr 6.450 1.450 0.000
Sr 2.500 2.500 3.889
Sr 5.400 5.400 3.889
Sr 1.450 6.450 0.000
```

Summary:
calculated volume = 60.7 Å³ per atom
offset from the most stable computed form = 0.57 eV per formula unit
crystal system = tetragonal

=====

Entry 5:
Here is an optimized crystal structure of Li4CaSn2 from Alexandria via LeMat-Bulk. Energies are from PBE.

The structure in extended XYZ format:
```
14
Lattice="-1.641 1.124 4.299 -6.421 -4.707 -1.221 3.982 -6.250 3.155" Properties=species:S:1:pos:R:3 pbc="T T T"
Li 0.728 -2.774 1.003
Li -3.167 -8.183 0.930
Li 0.715 -3.908 3.905
Li -4.796 -5.925 2.328
Li 0.104 -6.652 4.389
Li -4.185 -3.181 1.844
Li -1.877 -2.387 -0.092
Li -0.562 -8.569 2.026
Ca -0.821 0.562 2.150
Ca -1.220 -5.478 0.967
Sn 1.800 -5.927 2.237
Sn -4.240 -5.030 -0.303
Sn -2.552 -7.214 3.522
Sn -1.529 -2.619 2.711
```

Summary:
calculated volume = 21.9 Å³ per atom
offset from the most stable computed form = 0.00 eV per formula unit
crystal system = tetragonal

=====

Entry 6:
Here is an optimized crystal structure of RbNCl from Alexandria via LeMat-Bulk. Energies are from PBE.

The structure in extended XYZ format:
```
6
Lattice="3.920 1.300 -1.825 2.653 5.196 -1.694 -1.367 -1.539 11.035" Properties=species:S:1:pos:R:3 pbc="T T T"
N 4.293 3.665 5.101
N 4.296 4.753 2.646
Cl 4.741 4.666 4.078
Cl 4.768 5.000 -1.501
Rb 2.554 2.023 2.670
Rb 1.544 0.733 9.171
```

Summary:
calculated volume = 29.0 Å³ per atom
offset from the most stable computed form = 3.58 eV per formula unit
formation energy (no corrections) = -0.07 eV per atom
crystal system = triclinic

=====

Entry 7:
Here is an optimized crystal structure of NpTi2Cu from Alexandria via LeMat-Bulk. Energies are from PBE.

The structure in extended XYZ format:
```
4
Lattice="2.742 0.000 0.000 1.371 2.374 0.000 1.371 0.791 10.091" Properties=species:S:1:pos:R:3 pbc="T T T"
Np 0.000 0.000 0.000
Cu 2.742 1.583 5.046
Ti 1.371 0.791 7.274
Ti 4.113 2.374 2.818
```

Summary:
calculated volume = 16.4 Å³ per atom
offset from the most stable computed form = 0.98 eV per formula unit
crystal system = trigonal

=====

Entry 8:
Here is an optimized crystal structure of MgCoSe from Alexandria via LeMat-Bulk. Energies are from PBE.

The structure in extended XYZ format:
```
3
Lattice="-0.410 -1.677 -3.815 3.130 0.297 -2.765 2.206 -3.404 -1.038" Properties=species:S:1:pos:R:3 pbc="T T T"
Co 0.000 0.000 0.000
Mg 2.463 -2.392 -3.809
Se 3.695 -3.588 -5.714
```

Summary:
calculated volume = 17.3 Å³ per atom
offset from the most stable computed form = 0.91 eV per formula unit
formation energy (no corrections) = -0.02 eV per atom
crystal system = cubic

=====

Going through the records in order, we get magnetization values of 5.68 0.00 3.03 0.00 0.24 0.00 1.48 1.09 μB per formula unit.